Material: Ga3TcSb
Method: DFT, PBE
State: relaxed

```
Ga3TcSb
1.0
4.889 0.000 0.000
0.000 4.889 0.000
0.000 0.000 4.889
Ga Tc Sb
3 1 1
Direct
0.000 0.000 0.500
0.000 0.500 0.000
0.500 0.000 0.000
0.000 0.000 0.000
0.500 0.500 0.500
```

Output
- Formation energy without anion corrections: 0.379 eV per atom
- Space group: Pm-3m (221)
- Energy above the most stable polymorph in this dataset: 0 meV per atom
- M_tot: 1.78 μB per formula unit
- Mass density: 6.09 g/cm3